VASP calculation (GGA-PBE) on a relaxed structure of Ca3Zn9Hg2.

Lattice parameters (Å, degrees): 4.4807 8.5019 8.5019 64.96 74.72 74.72
Fractional coordinates of all 14 atoms:
Zn 0.1390 0.1443 0.5776
Zn 0.3277 0.0331 0.3115
Ca 0.0000 0.0000 0.0000
Zn 0.6723 0.9669 0.6885
Ca 0.3009 0.6991 0.6991
Zn 0.3277 0.3115 0.0331
Zn 0.0000 0.5000 0.5000
Zn 0.6723 0.6885 0.9669
Zn 0.1390 0.5776 0.1443
Hg 0.5000 0.2944 0.7056
Zn 0.8610 0.4224 0.8557
Hg 0.5000 0.7056 0.2944
Ca 0.6991 0.3009 0.3009
Zn 0.8610 0.8557 0.4224

Space group: Immm
Formation energy from the elements (meV/atom): -242
DOS at the Fermi energy (states/eV/cell): 4.4